Entry from Alexandria via LeMat-Bulk: a relaxed AlRhBr2 crystal (GGA-PBEsol).

POSCAR file:
```
AlRhBr2
1.0
-1.8841 1.8841 5.5010
1.8841 -1.8841 5.5010
1.8841 1.8841 -5.5010
Al Rh Br
1 1 2
direct
0.0000 0.0000 0.0000
0.2500 0.7500 0.5000
0.5000 0.5000 0.0000
0.7500 0.2500 0.5000
```

Summary:
offset from the most stable computed form = 143 meV per atom
E_form (uncorrected) = 1.4 eV/f.u.

Entry from Alexandria via LeMat-Bulk: a relaxed BaLa3Fe crystal (GGA-PBEsol).

POSCAR file:
```
BaLa3Fe
1.0
5.4715 0.0000 0.0000
0.0000 5.4715 0.0000
0.0000 0.0000 5.4715
Ba La Fe
1 3 1
direct
0.0000 0.0000 0.0000
0.0000 0.5000 0.5000
0.5000 0.0000 0.5000
0.5000 0.5000 0.0000
0.5000 0.5000 0.5000
```

Summary:
formation enthalpy at 0 K = 0.134 eV/atom

Entry from Alexandria via LeMat-Bulk: a relaxed TePbAu2 crystal (GGA-PBEsol).

POSCAR file:
```
TePbAu2
1.0
2.0994 1.2121 6.2642
-2.0994 1.2121 6.2642
0.0000 -2.4242 6.2642
Te Pb Au
1 1 2
direct
0.0000 0.0000 0.0000
0.5000 0.5000 0.5000
0.2549 0.2549 0.2549
0.7451 0.7451 0.7451
```

Summary:
offset from the most stable computed form = 14 meV per atom
E_form (uncorrected) = -0.1 eV/f.u.

Entry from Alexandria via LeMat-Bulk: a relaxed SiHg2Os crystal (GGA-PBEsol).

POSCAR file:
```
SiHg2Os
1.0
0.0000 3.2498 3.2498
3.2498 0.0000 3.2498
3.2498 3.2498 0.0000
Si Hg Os
1 2 1
direct
0.0000 0.0000 0.0000
0.5000 0.5000 0.5000
0.7500 0.7500 0.7500
0.2500 0.2500 0.2500
```

Summary:
E_form (uncorrected) = 3.3 eV/f.u.

Number 1: size of the total moment 0.00 Bohr magnetons per cell, electronic total energy -3.65 eV/atom. Number 2: size of the total moment 0.00 Bohr magnetons per cell, electronic total energy -5.30 eV/atom. Number 3: size of the total moment 0.00 Bohr magnetons per cell, electronic total energy -3.86 eV/atom. Number 4: size of the total moment 0.00 Bohr magnetons per cell, electronic total energy -3.95 eV/atom.